MgCoCuW | PBE-GGA | relaxed

Properties
Total energy: -24.43 eV per cell

a b c (Å): 4.2552 4.2552 4.2552
angles (deg): 60.00 60.00 60.00
Closest atoms and distances in Å follow each position.
Element x y z (fractional)
1 Mg 0.0000 0.0000 0.0000  4 Co 2.61, 4 Cu 2.61
2 Co 0.2500 0.2500 0.2500  4 W 2.61, 4 Mg 2.61
3 Cu 0.7500 0.7500 0.7500  4 W 2.61, 4 Mg 2.61
4 W 0.5000 0.5000 0.5000  4 Cu 2.61, 4 Co 2.61